Density functional theory data (PBE-GGA) for a geometry-optimized RbGaH structure.

## Properties
As for the mass density: 3.04 g/cm³. For the uncorrected energy, the calculation gives -2.5682 eV per atom. The density of states at the Fermi level comes out at 0.071 states/eV/f.u.

Cell lengths 4.537, 6.813, 6.829 Å; angles 105.38, 109.13, 109.44 degrees
Atoms (fractional coordinates):
Ga (0.005, 0.760, 0.560)
Ga (0.377, 0.625, 0.439)
Rb (0.546, 0.468, 0.924)
Rb (0.545, 0.116, 0.278)
H (0.240, 0.989, 0.804)
H (0.136, 0.389, 0.189)

Density functional theory data (PBE-GGA) for a geometry-optimized PmGa2As structure.

## Properties
As for the mass density: 6.65 g/cm³. For the uncorrected energy, the calculation gives -4.2311 eV per atom. The density of states at the Fermi level comes out at 1.181 states/eV/f.u.

Cell lengths 4.537, 4.537, 5.677 Å; angles 66.45, 66.45, 60.00 degrees
Atoms (fractional coordinates):
As (0.000, 0.000, 0.000)
Ga (0.281, 0.281, 0.156)
Ga (0.719, 0.719, 0.844)
Pm (0.500, 0.500, 0.500)

Density functional theory data (PBE-GGA) for a geometry-optimized PmThCdNi structure.

## Properties
As for the mass density: 9.14 g/cm³. For the uncorrected energy, the calculation gives -4.8082 eV per atom. The density of states at the Fermi level comes out at 4.336 states/eV/f.u.

Cell lengths 5.203, 5.203, 5.203 Å; angles 60.00, 60.00, 60.00 degrees
Atoms (fractional coordinates):
Ni (0.250, 0.250, 0.250)
Pm (0.000, 0.000, 0.000)
Cd (0.750, 0.750, 0.750)
Th (0.500, 0.500, 0.500)

Density functional theory data (PBE-GGA) for a geometry-optimized Ti3GeC structure.

## Properties
As for the mass density: 5.04 g/cm³. For the uncorrected energy, the calculation gives -7.8328 eV per atom. The density of states at the Fermi level comes out at 4.003 states/eV/f.u.

Cell lengths 4.105, 5.818, 6.791 Å; angles 82.56, 90.00, 110.66 degrees
Atoms (fractional coordinates):
Ge (0.358, 0.715, 0.704)
Ge (0.642, 0.285, 0.296)
Ti (0.153, 0.305, 0.543)
Ti (0.961, 0.923, 0.835)
Ti (0.696, 0.393, 0.884)
Ti (0.304, 0.607, 0.116)
Ti (0.847, 0.695, 0.457)
Ti (0.039, 0.077, 0.165)
C (0.151, 0.303, 0.880)
C (0.849, 0.697, 0.120)

Density functional theory data (PBE-GGA) for a geometry-optimized PrBe3Os structure.

## Properties
As for the mass density: 7.27 g/cm³. For the uncorrected energy, the calculation gives -5.5115 eV per atom. The density of states at the Fermi level comes out at 2.961 states/eV/f.u.

Cell lengths 4.341, 4.341, 4.341 Å; angles 90.00, 90.00, 90.00 degrees
Atoms (fractional coordinates):
Be (0.000, 0.500, 0.000)
Be (0.000, 0.000, 0.500)
Be (0.500, 0.000, 0.000)
Os (0.000, 0.000, 0.000)
Pr (0.500, 0.500, 0.500)

Density functional theory data (PBE-GGA) for a geometry-optimized TcPW structure.

## Properties
As for the mass density: 12.00 g/cm³. For the uncorrected energy, the calculation gives -9.5447 eV per atom. The density of states at the Fermi level comes out at 2.436 states/eV/f.u.

Cell lengths 2.894, 2.894, 5.968 Å; angles 90.00, 90.00, 120.00 degrees
Atoms (fractional coordinates):
Tc (0.333, 0.667, 0.311)
P (0.000, 0.000, 0.007)
W (0.667, 0.333, 0.682)

Density functional theory data (PBE-GGA) for a geometry-optimized Np2SbRh4 structure.

## Properties
As for the mass density: 12.24 g/cm³. The formation energy (no corrections) comes out at -214 meV per atom. The density of states at the Fermi level comes out at 15.469 states/eV/f.u.

Cell lengths 5.932, 8.243, 6.946 Å; angles 126.40, 90.00, 90.00 degrees
Last column: magnetic moment on the atom in μB.
Atoms (fractional coordinates):
Rh (0.750, 0.000, 0.500)  -0.31
Rh (0.250, 0.500, 0.500)  -0.31
Rh (0.744, 0.247, 0.000)  -0.15
Rh (0.750, 0.500, 0.500)  -0.31
Rh (0.250, 0.000, 0.500)  -0.31
Rh (0.756, 0.747, 0.000)  -0.15
Rh (0.256, 0.753, 0.000)  -0.15
Rh (0.244, 0.253, 0.000)  -0.15
Np (0.500, 0.151, 0.302)  3.55
Np (0.000, 0.651, 0.302)  3.55
Np (0.000, 0.349, 0.698)  3.55
Np (0.500, 0.849, 0.698)  3.55
Sb (0.000, 0.000, 0.000)  -0.01
Sb (0.500, 0.500, 0.000)  -0.01

Density functional theory data (PBE-GGA) for a geometry-optimized Cs2YU2S6 structure.

## Properties
As for the mass density: 4.83 g/cm³. The formation energy (no corrections) comes out at -1586 meV per atom. The density of states at the Fermi level comes out at 10.557 states/eV/f.u.

Cell lengths 7.008, 7.008, 8.581 Å; angles 97.66, 97.66, 120.04 degrees
Last column: magnetic moment on the atom in μB.
Atoms (fractional coordinates):
S (0.944, 0.606, 0.323)  -0.05
S (0.277, 0.277, 0.323)  -0.05
S (0.394, 0.056, 0.677)  -0.05
S (0.606, 0.944, 0.323)  -0.05
S (0.723, 0.723, 0.677)  -0.05
S (0.056, 0.394, 0.677)  -0.05
Y (0.000, 0.000, 0.500)  0.05
U (0.666, 0.334, 0.500)  2.37
U (0.334, 0.666, 0.500)  2.37
Cs (0.165, 0.835, 0.000)  0.00
Cs (0.835, 0.165, 0.000)  0.00

Density functional theory data (PBE-GGA) for a geometry-optimized Pr2Sn3GePd4 structure.

## Properties
As for the mass density: 8.55 g/cm³. For the uncorrected energy, the calculation gives -5.4615 eV per atom. The density of states at the Fermi level comes out at 5.665 states/eV/f.u.

Cell lengths 4.567, 4.567, 10.585 Å; angles 90.00, 90.00, 90.00 degrees
Atoms (fractional coordinates):
Sn (0.500, 0.000, 0.869)
Sn (0.000, 0.500, 0.131)
Sn (0.000, 0.000, 0.500)
Pd (0.500, 0.500, 0.000)
Pd (0.000, 0.000, 0.000)
Pd (0.000, 0.500, 0.378)
Pd (0.500, 0.000, 0.622)
Pr (0.000, 0.500, 0.747)
Pr (0.500, 0.000, 0.253)
Ge (0.500, 0.500, 0.500)

Density functional theory data (PBE-GGA) for a geometry-optimized Ce2PmScTe4 structure.

## Properties
As for the mass density: 6.71 g/cm³. The formation energy (no corrections) comes out at -1300 meV per atom. The density of states at the Fermi level comes out at 15.670 states/eV/f.u.

Cell lengths 4.368, 7.630, 7.695 Å; angles 108.94, 90.00, 90.00 degrees
Last column: magnetic moment on the atom in μB.
Atoms (fractional coordinates):
Te (0.000, 0.242, 0.760)  -0.01
Te (0.500, 0.233, 0.232)  -0.01
Te (0.500, 0.767, 0.768)  -0.01
Te (0.000, 0.758, 0.240)  -0.01
Sc (0.000, 0.000, 0.000)  0.01
Pm (0.500, 0.500, 0.000)  0.00
Ce (0.000, 0.500, 0.500)  1.05
Ce (0.500, 0.000, 0.500)  0.94

Density functional theory data (PBE-GGA) for a geometry-optimized TmGe2PdRh2 structure.

## Properties
As for the mass density: 8.96 g/cm³. For the uncorrected energy, the calculation gives -5.7539 eV per atom. The density of states at the Fermi level comes out at 4.431 states/eV/f.u.

Cell lengths 4.605, 4.605, 5.476 Å; angles 90.00, 90.00, 90.00 degrees
Atoms (fractional coordinates):
Ge (0.500, 0.000, 0.000)
Ge (0.000, 0.500, 0.000)
Tm (0.000, 0.000, 0.500)
Rh (0.500, 0.500, 0.742)
Rh (0.500, 0.500, 0.258)
Pd (0.000, 0.000, 0.000)

Density functional theory data (PBE-GGA) for a geometry-optimized Sr2SbTe structure.

## Properties
As for the mass density: 4.52 g/cm³. The formation energy (no corrections) comes out at -1116 meV per atom. The density of states at the Fermi level comes out at 2.908 states/eV/f.u.

Cell lengths 4.928, 4.928, 7.939 Å; angles 71.92, 71.92, 60.00 degrees
Last column: magnetic moment on the atom in μB.
Atoms (fractional coordinates):
Sr (0.257, 0.257, 0.230)  0.01
Sr (0.077, 0.077, 0.769)  0.02
Te (0.501, 0.501, 0.497)  0.05
Sb (0.665, 0.665, 0.005)  0.11

> Which value of mass density does entry 11 give?

8.96 g/cm³